1.
A plane-wave DFT calculation with GGA-PBE was carried out for a geometry-optimized InMo structure.

Lattice parameters (Å, degrees): 4.1457 13.0524 4.9388 90.00 90.00 90.00
Positions (direct):
In (0.2500, 0.0148, 0.2276)
In (0.2500, 0.2500, 0.2171)
In (0.2500, 0.4852, 0.2276)
In (0.7500, 0.5148, 0.7724)
In (0.7500, 0.7500, 0.7829)
In (0.7500, 0.9852, 0.7724)
Mo (0.2500, 0.1411, 0.7168)
Mo (0.2500, 0.3589, 0.7168)
Mo (0.2500, 0.7500, 0.2801)
Mo (0.7500, 0.2500, 0.7199)
Mo (0.7500, 0.6411, 0.2832)
Mo (0.7500, 0.8589, 0.2832)

Energy above the lowest structure with this stoichiometry (kJ/mol of formula units): 80.6
Space group: Pmmn (59)

---

2.
A plane-wave DFT calculation with GGA-PBE was carried out for a geometry-optimized La3CdSi2Pt9 structure.

Lattice parameters (Å, degrees): 5.7811 5.7811 11.1764 90.00 90.00 120.00
Positions (direct):
La (0.0000, 0.0000, 0.0000)
La (0.3333, 0.6667, 0.6174)
La (0.6667, 0.3333, 0.3826)
Cd (0.0000, 0.0000, 0.5000)
Si (0.3333, 0.6667, 0.1572)
Si (0.6667, 0.3333, 0.8428)
Pt (0.0000, 0.5000, 0.0000)
Pt (0.1615, 0.3230, 0.3004)
Pt (0.1615, 0.8385, 0.3004)
Pt (0.3230, 0.1615, 0.6996)
Pt (0.5000, 0.0000, 0.0000)
Pt (0.5000, 0.5000, 0.0000)
Pt (0.6770, 0.8385, 0.3004)
Pt (0.8385, 0.1615, 0.6996)
Pt (0.8385, 0.6770, 0.6996)

Formation energy from raw total energies (eV/atom): -0.81
Space group: P-3m1 (164)

---

3.
A plane-wave DFT calculation with GGA-PBE was carried out for a geometry-optimized ErZrPdPt structure.

Lattice parameters (Å, degrees): 4.3996 5.5392 5.5392 37.25 90.00 90.00
Positions (direct):
Er (0.0000, 0.0000, 0.0000)
Zr (0.5000, 0.7196, 0.7196)
Pd (0.5000, 0.4481, 0.4481)
Pt (0.0000, 0.2680, 0.2680)

Energy above the lowest structure with this stoichiometry (kJ/mol of formula units): 0.0
Space group: Amm2 (38)

---

4.
A plane-wave DFT calculation with GGA-PBE was carried out for a geometry-optimized CuRe3Bi structure.

Lattice parameters (Å, degrees): 4.9594 4.9594 4.9594 90.00 90.00 90.00
Positions (direct):
Cu (0.0000, 0.0000, 0.0000)
Re (0.0000, 0.5000, 0.5000)
Re (0.5000, 0.0000, 0.5000)
Re (0.5000, 0.5000, 0.0000)
Bi (0.5000, 0.5000, 0.5000)

Energy above the lowest structure with this stoichiometry (kJ/mol of formula units): 703.8
Space group: Pm-3m (221)

---

5.
A plane-wave DFT calculation with GGA-PBE was carried out for a geometry-optimized ZrAs2Au structure.

Lattice parameters (Å, degrees): 4.5472 4.5472 3.5846 90.00 90.00 90.00
Positions (direct):
Zr (0.0000, 0.0000, 0.0000)
As (0.0000, 0.5000, 0.5000)
As (0.5000, 0.0000, 0.5000)
Au (0.5000, 0.5000, 0.0000)

Space group: P4/mmm (123)
Energy (eV per atom): -5.741

---

6.
A plane-wave DFT calculation with GGA-PBE was carried out for a geometry-optimized CrCo2W2 structure.

Lattice parameters (Å, degrees): 6.0928 6.0928 3.5549 90.00 90.00 90.00
Positions (direct):
Cr (0.0000, 0.0000, 0.0000)
Cr (0.5000, 0.5000, 0.0000)
Co (0.1305, 0.3695, 0.0000)
Co (0.3695, 0.8695, 0.0000)
Co (0.6305, 0.1305, 0.0000)
Co (0.8695, 0.6305, 0.0000)
W (0.1740, 0.6740, 0.5000)
W (0.3260, 0.1740, 0.5000)
W (0.6740, 0.8260, 0.5000)
W (0.8260, 0.3260, 0.5000)

Space group: P4/mbm (127)
Energy (eV per atom): -9.703

---

7.
A plane-wave DFT calculation with GGA-PBE was carried out for a geometry-optimized Nb2CuGe2 structure.

Lattice parameters (Å, degrees): 6.6436 6.6436 3.6774 90.00 90.00 90.00
Positions (direct):
Nb (0.1644, 0.3356, 0.0000)
Nb (0.3356, 0.8356, 0.0000)
Nb (0.6644, 0.1644, 0.0000)
Nb (0.8356, 0.6644, 0.0000)
Cu (0.0000, 0.0000, 0.5000)
Cu (0.5000, 0.5000, 0.5000)
Ge (0.1387, 0.6387, 0.5000)
Ge (0.3613, 0.1387, 0.5000)
Ge (0.6387, 0.8613, 0.5000)
Ge (0.8613, 0.3613, 0.5000)

Energy above the lowest structure with this stoichiometry (kJ/mol of formula units): 0.0
Space group: P4/mbm (127)

---

8.
A plane-wave DFT calculation with GGA-PBE was carried out for a geometry-optimized CaTb4Rh5 structure.

Lattice parameters (Å, degrees): 3.4500 3.4500 17.1197 90.00 90.00 90.00
Positions (direct):
Ca (0.0000, 0.0000, 0.0000)
Tb (0.0000, 0.0000, 0.2002)
Tb (0.0000, 0.0000, 0.4001)
Tb (0.0000, 0.0000, 0.5999)
Tb (0.0000, 0.0000, 0.7998)
Rh (0.5000, 0.5000, 0.1089)
Rh (0.5000, 0.5000, 0.3024)
Rh (0.5000, 0.5000, 0.5000)
Rh (0.5000, 0.5000, 0.6976)
Rh (0.5000, 0.5000, 0.8911)

Space group: P4/mmm (123)
Energy (eV per atom): -6.487

---

Number 1: size of the total moment 0.00 μB per cell. Number 2: size of the total moment 0.00 μB per cell. Number 3: size of the total moment 0.00 μB per cell. Number 4: size of the total moment 0.01 μB per cell. Number 5: size of the total moment 0.00 μB per cell. Number 6: size of the total moment 0.00 μB per cell. Number 7: size of the total moment 0.00 μB per cell. Number 8: size of the total moment 0.00 μB per cell.